# 1
Below is a relaxed structure of LiEr2MgAg4, with properties calculated at the PBE level.

Cell lengths 8.4698, 8.4698, 8.4698 Å; angles 33.67, 33.67, 33.67 degrees
Fractional positions:
1 Li 0.0000 0.0000 0.0000
2 Er 0.2503 0.2503 0.2503
3 Er 0.7497 0.7497 0.7497
4 Mg 0.5000 0.5000 0.5000
5 Ag 0.1249 0.1249 0.1249
6 Ag 0.3747 0.3747 0.3747
7 Ag 0.6253 0.6253 0.6253
8 Ag 0.8751 0.8751 0.8751

ΔH_f (0 K) in meV per atom: -256
Symmetry: R-3m (166)

---

# 2
Below is a relaxed structure of LiErMgAg, with properties calculated at the PBE level.

Cell lengths 4.9160, 4.9160, 4.9160 Å; angles 60.00, 60.00, 60.00 degrees
Fractional positions:
1 Li 0.0000 0.0000 0.0000
2 Er 0.7500 0.7500 0.7500
3 Mg 0.2500 0.2500 0.2500
4 Ag 0.5000 0.5000 0.5000

ΔH_f (0 K) in meV per atom: -153
Symmetry: F-43m (216)

---

# 3
Below is a relaxed structure of LiNdErAg, with properties calculated at the PBE level.

Cell lengths 5.2335, 5.2335, 5.2335 Å; angles 60.00, 60.00, 60.00 degrees
Fractional positions:
1 Li 0.0000 0.0000 0.0000
2 Nd 0.7500 0.7500 0.7500
3 Er 0.2500 0.2500 0.2500
4 Ag 0.5000 0.5000 0.5000

ΔH_f (0 K) in meV per atom: -75
Symmetry: F-43m (216)

---

# 4
Below is a relaxed structure of LiErAgPb, with properties calculated at the PBE level.

Cell lengths 5.0327, 5.0327, 5.0327 Å; angles 60.00, 60.00, 60.00 degrees
Fractional positions:
1 Li 0.0000 0.0000 0.0000
2 Er 0.5000 0.5000 0.5000
3 Ag 0.7500 0.7500 0.7500
4 Pb 0.2500 0.2500 0.2500

ΔH_f (0 K) in meV per atom: -339
Symmetry: F-43m (216)

---

- ΔH_f (0 K) of number 1 (LiEr2MgAg4)?
  -256 meV per atom